(1)
The following is a PBE calculation of a relaxed structure of MgSbCl2, from the Alexandria database.

```
MgSbCl2
1.0
7.1824 -0.2236 0.1720
2.9486 6.5530 -0.1720
-3.6707 -5.3973 3.0103
Mg Cl Sb
1 2 1
Cartesian
4.2886 -1.2281 1.5911 Mg
9.0801 5.6729 0.0000 Cl
6.1163 3.8212 0.0000 Cl
2.1717 2.1602 1.4191 Sb
```

Output
SG: Immm, No. 71
Raw formation energy, meV per atom: -795

=====

(2)
The following is a PBE calculation of a relaxed structure of LaTbHo2Te6, from the Alexandria database.

```
LaTbHo2Te6
1.0
-2.8119 7.0792 1.7479
-1.8567 1.7529 7.3864
4.9915 5.2747 4.1373
Te La Ho Tb
6 1 2 1
Cartesian
1.4387 9.3646 5.3145 Te
1.2747 8.0031 9.2001 Te
-2.4614 8.8057 7.0947 Te
-0.9209 6.0105 3.8252 Te
2.6542 5.5304 6.2073 Te
-1.1288 4.5659 8.1541 Te
-1.0619 10.1156 9.7360 La
-0.0455 6.9800 6.6013 Ho
4.8397 5.2207 4.1122 Ho
-1.3179 3.0287 3.0843 Tb
```

Output
SG: R3, No. 146
Raw formation energy, meV per atom: -1394

=====

(3)
The following is a PBE calculation of a relaxed structure of LiScS3, from the Alexandria database.

```
LiScS3
1.0
-1.2423 -4.6734 0.9988
1.0687 0.7342 4.7645
-4.6579 1.4148 0.8268
S Li Sc
3 1 1
Cartesian
-0.6211 -2.3367 0.4994 S
-2.3290 0.7074 0.4134 S
0.5343 0.3671 2.3823 S
-2.4158 -1.2622 3.2950 Li
0.0000 0.0000 0.0000 Sc
```

Output
SG: Pm-3m, No. 221
Raw formation energy, meV per atom: -751

=====

(4)
The following is a PBE calculation of a relaxed structure of RbPmCuI5, from the Alexandria database.

```
RbPmCuI5
1.0
-1.0910 -6.9119 4.7217
-3.1216 -1.9440 -7.5984
11.3930 0.5095 -1.6724
Pm I Cu Rb
2 10 2 2
Cartesian
0.0000 0.0000 0.0000 Pm
5.6965 0.2548 -0.8362 Pm
2.1602 -6.2815 -1.7373 I
3.9009 -3.6841 -6.4426 I
-0.0962 -2.2502 -6.9412 I
7.5376 -5.2461 -4.5095 I
-0.3572 -3.1003 -0.0396 I
7.7807 -1.4832 -6.1947 I
-0.6004 -6.8631 1.6456 I
5.0202 -2.0649 -2.8118 I
3.2795 -4.6623 1.8936 I
7.2765 -6.0962 2.3921 I
6.0495 -3.0943 -5.0522 Cu
1.1308 -5.2521 0.5032 Cu
6.7204 -4.7356 -0.9820 Rb
0.4600 -3.6108 -3.5670 Rb
```

Output
SG: C2/c, No. 15
Raw formation energy, meV per atom: -1091